[1]
Computed, not measured: a relaxed CaSi4Pd6 crystal at the PBE level of DFT.

Computed properties:
The formation energy from raw total energies comes out at -0.7443 eV per atom.

POSCAR file:
```
CaSi4Pd6
1.0
7.1803 0.0000 0.0000
-3.5902 6.2183 0.0000
0.0000 0.0000 3.8583
Ca Si Pd
1 4 6
direct
0.0000 0.0000 0.0000
0.3333 0.6667 0.0000
0.3861 0.1931 0.5000
0.8069 0.1931 0.5000
0.8069 0.6139 0.5000
0.1989 0.3978 0.5000
0.1989 0.8011 0.5000
0.5345 0.0689 0.0000
0.5345 0.4655 0.0000
0.6022 0.8011 0.5000
0.9311 0.4655 0.0000
```

---

[2]
Computed, not measured: a relaxed Ba5Sb2ClO crystal at the PBE level of DFT.

Computed properties:
The formation energy from raw total energies comes out at -1.5244 eV per atom.

POSCAR file:
```
Ba5Sb2ClO
1.0
5.2778 0.0000 0.0000
0.0000 5.2778 0.0000
0.0000 0.0000 12.2804
Ba Sb Cl O
5 2 1 1
direct
0.0000 0.0000 0.0000
0.0000 0.5000 0.5000
0.5000 0.0000 0.5000
0.5000 0.5000 0.2524
0.5000 0.5000 0.7476
0.0000 0.0000 0.2884
0.0000 0.0000 0.7116
0.5000 0.5000 0.0000
0.5000 0.5000 0.5000
```

---

[3]
Computed, not measured: a relaxed ScMn2Pd crystal at the PBE level of DFT.

Computed properties:
The formation energy is 0.714 eV per formula unit.

POSCAR file:
```
ScMn2Pd
1.0
-3.6295 3.6295 2.7040
3.6295 -3.6295 2.7040
3.6295 3.6295 -2.7040
Sc Mn Pd
2 4 2
direct
0.0000 0.0000 0.0000
0.7500 0.2500 0.5000
0.1571 0.1250 0.5321
0.3750 0.8429 0.9679
0.5929 0.6250 0.4679
0.8750 0.4071 0.0321
0.2500 0.7500 0.5000
0.5000 0.5000 0.0000
```

---

[4]
Computed, not measured: a relaxed Pr4Y7Tm crystal at the PBE level of DFT.

Computed properties:
The formation energy is 1.022 eV per formula unit.

POSCAR file:
```
Pr4Y7Tm
1.0
6.6030 0.0000 0.0000
0.9772 6.8329 0.0000
2.0191 0.4726 8.9438
Pr Y Tm
4 7 1
direct
0.1448 0.3184 0.2831
0.3346 0.8815 0.6957
0.6654 0.1185 0.3043
0.8552 0.6816 0.7169
0.0071 0.2533 0.9532
0.1744 0.8105 0.3609
0.3175 0.3912 0.6225
0.5000 0.0000 0.0000
0.6825 0.6088 0.3775
0.8256 0.1895 0.6391
0.9929 0.7467 0.0468
0.5000 0.5000 0.0000
```

---

[5]
Computed, not measured: a relaxed Ba4Sr3Ca2 crystal at the PBE level of DFT.

Computed properties:
The formation energy is 0.214 eV per formula unit.

POSCAR file:
```
Ba4Sr3Ca2
1.0
10.0350 -2.4692 0.0000
10.0350 2.4692 0.0000
-3.2894 0.0000 9.9922
Ba Sr Ca
4 3 2
direct
0.0547 0.0547 0.3345
0.2778 0.2778 0.6793
0.7222 0.7222 0.3207
0.9453 0.9453 0.6655
0.3869 0.3869 0.3205
0.5000 0.5000 0.0000
0.6131 0.6131 0.6795
0.1692 0.1692 0.9946
0.8308 0.8308 0.0054
```

---

[6]
Computed, not measured: a relaxed PmYGaHg crystal at the PBE level of DFT.

Computed properties:
The formation energy is -2.087 eV per formula unit.

POSCAR file:
```
PmYGaHg
1.0
0.0000 3.7137 3.7137
3.7137 0.0000 3.7137
3.7137 3.7137 0.0000
Pm Y Ga Hg
1 1 1 1
direct
0.0000 0.0000 0.0000
0.5000 0.5000 0.5000
0.7500 0.7500 0.7500
0.2500 0.2500 0.2500
```